[1]
# Si2NiBTe | the Alexandria database | PBE | optimized geometry
# * uncorrected formation energy: 1.057 eV/atom
# * crystal system: tetragonal
data_Si2NiBTe
_symmetry_space_group_name_H-M 'P 4/m m m'
_symmetry_Int_Tables_number 123
_symmetry_space_group_name_Hall '-P 4 2'
_cell_length_a 4.217
_cell_length_b 4.217
_cell_length_c 5.481
_cell_angle_alpha 90.00
_cell_angle_beta 90.00
_cell_angle_gamma 90.00
loop_
_atom_site_label
_atom_site_fract_x
_atom_site_fract_y
_atom_site_fract_z
_atom_site_occupancy
Si1 0.000 0.500 0.000 1
Ni1 0.000 0.000 0.000 1
B1 0.500 0.500 0.500 1
Te1 0.000 0.000 0.500 1

[2]
# Dy2Ag3BiSe6 | the Alexandria database | PBE | optimized geometry
# * uncorrected formation energy: -0.862 eV/atom
# * crystal system: monoclinic
data_Dy2Ag3BiSe6
_symmetry_space_group_name_H-M 'C 1 2/m 1'
_symmetry_Int_Tables_number 12
_cell_length_a 17.813
_cell_length_b 4.179
_cell_length_c 8.110
_cell_angle_alpha 90.00
_cell_angle_beta 100.54
_cell_angle_gamma 90.00
loop_
_symmetry_equiv_pos_as_xyz
'x,y,z'
'-x,-y,-z'
'-x,y,-z'
'x,-y,z'
'x+1/2,y+1/2,z'
'-x+1/2,-y+1/2,-z'
'-x+1/2,y+1/2,-z'
'x+1/2,-y+1/2,z'
loop_
_atom_site_label
_atom_site_fract_x
_atom_site_fract_y
_atom_site_fract_z
_atom_site_occupancy
Dy1 0.168 0.000 0.326 1
Ag1 0.000 0.500 0.500 1
Ag2 0.170 0.000 0.815 1
Bi1 0.000 0.500 0.000 1
Se1 0.001 0.000 0.260 1
Se2 0.168 0.500 0.079 1
Se3 0.168 0.500 0.573 1

[3]
# Co6IrRh | the Alexandria database | PBE | optimized geometry
# * crystal system: hexagonal
# * DFT formation energy: 0.02 eV/atom
data_Co6IrRh
_symmetry_space_group_name_H-M 'P -6 m 2'
_symmetry_Int_Tables_number 187
_symmetry_space_group_name_Hall 'P -6 2'
_cell_length_a 5.1608
_cell_length_b 5.1608
_cell_length_c 4.1180
_cell_angle_alpha 90.00
_cell_angle_beta 90.00
_cell_angle_gamma 120.00
loop_
_atom_site_label
_atom_site_fract_x
_atom_site_fract_y
_atom_site_fract_z
_atom_site_occupancy
Co1 0.0106 0.5053 0.0000 1
Co2 0.1721 0.3442 0.5000 1
Ir1 0.6667 0.3333 0.5000 1
Rh1 0.0000 0.0000 0.0000 1

[4]
# Tl2AgOs | the Alexandria database | PBE | optimized geometry
# * crystal system: orthorhombic
# * DFT formation energy: 0.77 eV/atom
data_Tl2AgOs
_symmetry_space_group_name_H-M 'C m m m'
_symmetry_Int_Tables_number 65
_symmetry_space_group_name_Hall '-C 2 2'
_cell_length_a 3.165
_cell_length_b 5.415
_cell_length_c 9.662
_cell_angle_alpha 90.00
_cell_angle_beta 90.00
_cell_angle_gamma 90.00
loop_
_atom_site_label
_atom_site_fract_x
_atom_site_fract_y
_atom_site_fract_z
_atom_site_occupancy
Tl1 0.000 0.000 0.239 1
Ag1 0.000 0.500 0.500 1
Os1 0.000 0.500 0.000 1

Summary of size of the total moment in μB per formula unit
0.00 0.00 11.01 0.00
(order as listed above)